A relaxed structure of Nd2CoSe, computed with PBE.

Lattice parameters (Å, degrees): 4.0179 4.0179 21.7258 90.00 90.00 120.00
Space group R-3m (No. 166, hexagonal axes)
Symmetry-distinct sites (fractional):
Nd 0.0000 0.0000 0.2420 x6
Co 0.0000 0.0000 0.5000 x3
Se 0.0000 0.0000 0.0000 x3

Fermi-level density of states	6.662	states/eV/cell
formation energy without anion corrections	-0.804	eV per atom
offset from the most stable computed form	0.122	eV/atom



A relaxed structure of PmAl2HPt, computed with PBE.

Lattice parameters (Å, degrees): 4.262 11.179 6.972 90.00 90.00 90.00
Space group Cmcm (No. 63)
Symmetry-distinct sites (fractional):
Pm 0.000 0.059 0.250 x4
Al 0.000 0.329 0.057 x8
H 0.000 0.500 0.000 x4
Pt 0.000 0.211 0.750 x4

Fermi-level density of states	5.541	states/eV/cell
energy	-102.16	eV/cell